Entry 1:
# TiAl3N

A geometry-optimized TiAl3N structure (GGA-PBE, Alexandria).

```
TiAl3N
1.0
5.144 0.000 0.000
0.000 5.144 0.000
0.000 0.000 5.144
Ti Al N
1 3 1
Direct
0.000 0.000 0.000 Ti
0.000 0.000 0.500 Al
0.000 0.500 0.000 Al
0.500 0.000 0.000 Al
0.500 0.500 0.500 N
```

Density of states at the Fermi level, states/eV/atom: 1.040
Raw formation energy, meV/atom: 1842.8
Calculated total energy, eV/atom: -3.647

***

Entry 2:
# K2AcSiO4

A geometry-optimized K2AcSiO4 structure (GGA-PBE, Alexandria).

```
K2AcSiO4
1.0
6.480 0.000 0.000
0.000 6.480 0.000
0.000 0.000 7.711
K Ac Si O
4 2 2 8
Direct
0.000 0.000 0.000 K
0.000 0.500 0.250 K
0.500 0.000 0.750 K
0.500 0.500 0.500 K
0.000 0.500 0.750 Ac
0.500 0.000 0.250 Ac
0.000 0.000 0.500 Si
0.500 0.500 0.000 Si
0.112 0.825 0.628 O
0.175 0.112 0.372 O
0.325 0.388 0.872 O
0.388 0.675 0.128 O
0.612 0.325 0.128 O
0.675 0.612 0.872 O
0.825 0.888 0.372 O
0.888 0.175 0.628 O
```

Density of states at the Fermi level, states/eV/atom: 0.236
Raw formation energy, meV/atom: -2314.7
Calculated total energy, eV/atom: -6.260

***

Entry 3:
# NbBiIr2Pb

A geometry-optimized NbBiIr2Pb structure (GGA-PBE, Alexandria).

```
NbBiIr2Pb
1.0
4.881 0.000 0.000
0.000 4.881 0.000
0.000 0.000 5.444
Nb Bi Ir Pb
1 1 2 1
Direct
0.000 0.000 0.000 Nb
0.000 0.000 0.500 Bi
0.000 0.500 0.000 Ir
0.500 0.000 0.000 Ir
0.500 0.500 0.500 Pb
```

Density of states at the Fermi level, states/eV/atom: 0.703
Calculated total energy, eV/atom: -6.100
Energy of formation from the pure elements, eV/atom: 0.9761

***

Entry 4:
# Co2SiRh

A geometry-optimized Co2SiRh structure (GGA-PBE, Alexandria).

```
Co2SiRh
1.0
2.657 0.000 0.000
0.000 3.776 0.000
-1.159 0.000 4.776
Co Si Rh
2 1 1
Direct
0.113 0.000 0.269 Co
0.887 0.000 0.731 Co
0.500 0.500 0.500 Si
0.500 0.500 0.000 Rh
```

Density of states at the Fermi level, states/eV/atom: 1.106
Raw formation energy, meV/atom: -209.3
Calculated total energy, eV/atom: -6.956

***

Entry 5:
# TlHg2P4

A geometry-optimized TlHg2P4 structure (GGA-PBE, Alexandria).

```
TlHg2P4
1.0
5.007 0.000 0.000
0.000 5.007 0.000
0.000 0.000 15.423
Tl Hg P
2 4 8
Direct
0.000 0.000 0.000 Tl
0.500 0.500 0.500 Tl
0.000 0.000 0.402 Hg
0.000 0.000 0.598 Hg
0.500 0.500 0.098 Hg
0.500 0.500 0.902 Hg
0.000 0.000 0.246 P
0.000 0.000 0.754 P
0.000 0.500 0.000 P
0.000 0.500 0.500 P
0.500 0.000 0.000 P
0.500 0.000 0.500 P
0.500 0.500 0.254 P
0.500 0.500 0.746 P
```

Density of states at the Fermi level, states/eV/atom: 0.992
Calculated total energy, eV/atom: -2.507
Energy of formation from the pure elements, eV/atom: 1.0091

***

Entry 6:
# CaZn2GaPd2

A geometry-optimized CaZn2GaPd2 structure (GGA-PBE, Alexandria).

```
CaZn2GaPd2
1.0
4.720 0.000 0.000
0.000 4.720 0.000
0.000 0.000 5.577
Ca Zn Ga Pd
1 2 1 2
Direct
0.000 0.000 0.000 Ca
0.500 0.500 0.244 Zn
0.500 0.500 0.756 Zn
0.000 0.000 0.500 Ga
0.000 0.500 0.500 Pd
0.500 0.000 0.500 Pd
```

Density of states at the Fermi level, states/eV/atom: 0.413
Calculated total energy, eV/atom: -3.299
Energy of formation from the pure elements, eV/atom: -0.3054

***

Entry 7:
# YCdSe2

A geometry-optimized YCdSe2 structure (GGA-PBE, Alexandria).

```
YCdSe2
1.0
4.290 0.000 0.000
-2.145 3.716 0.000
0.000 0.000 23.475
Y Cd Se
3 3 6
Direct
0.000 0.000 0.000 Y
0.333 0.667 0.667 Y
0.667 0.333 0.333 Y
0.000 0.000 0.758 Cd
0.333 0.667 0.425 Cd
0.667 0.333 0.092 Cd
0.000 0.000 0.280 Se
0.000 0.000 0.464 Se
0.333 0.667 0.131 Se
0.333 0.667 0.947 Se
0.667 0.333 0.614 Se
0.667 0.333 0.798 Se
```

Density of states at the Fermi level, states/eV/atom: 0.500
Raw formation energy, meV/atom: -877.6
Calculated total energy, eV/atom: -4.465

***

Entry 8:
# Mg2BeTl

A geometry-optimized Mg2BeTl structure (GGA-PBE, Alexandria).

```
Mg2BeTl
1.0
3.150 0.000 0.000
0.000 3.286 0.000
-0.176 0.000 7.688
Mg Be Tl
2 1 1
Direct
0.007 0.000 0.196 Mg
0.993 0.000 0.804 Mg
0.500 0.500 0.000 Be
0.500 0.500 0.500 Tl
```

Density of states at the Fermi level, states/eV/atom: 0.282
Calculated total energy, eV/atom: -2.104
Energy of formation from the pure elements, eV/atom: 0.2160

***

Entry 9:
# Na3Tl2Hg3

A geometry-optimized Na3Tl2Hg3 structure (GGA-PBE, Alexandria).

```
Na3Tl2Hg3
1.0
2.484 -6.115 0.000
2.484 6.115 0.000
0.000 0.000 15.027
Na Tl Hg
6 4 6
Direct
0.060 0.940 0.609 Na
0.060 0.940 0.891 Na
0.309 0.691 0.750 Na
0.691 0.309 0.250 Na
0.940 0.060 0.109 Na
0.940 0.060 0.391 Na
0.240 0.760 0.101 Tl
0.240 0.760 0.399 Tl
0.760 0.240 0.601 Tl
0.760 0.240 0.899 Tl
0.404 0.596 0.559 Hg
0.404 0.596 0.941 Hg
0.429 0.571 0.250 Hg
0.571 0.429 0.750 Hg
0.596 0.404 0.059 Hg
0.596 0.404 0.441 Hg
```

Density of states at the Fermi level, states/eV/atom: 0.337
Calculated total energy, eV/atom: -1.361
Energy of formation from the pure elements, eV/atom: -0.1616

***

Entry 10:
# Zr4Ti

A geometry-optimized Zr4Ti structure (GGA-PBE, Alexandria).

```
Zr4Ti
1.0
-2.838 6.878 2.836
2.838 -6.878 2.836
2.838 6.878 -2.836
Zr Ti
8 2
Direct
0.095 0.119 0.214 Zr
0.185 0.632 0.817 Zr
0.315 0.132 0.447 Zr
0.405 0.619 0.024 Zr
0.595 0.381 0.976 Zr
0.685 0.868 0.553 Zr
0.815 0.368 0.183 Zr
0.905 0.881 0.786 Zr
0.250 0.750 0.500 Ti
0.750 0.250 0.500 Ti
```

Density of states at the Fermi level, states/eV/atom: 1.218
Calculated total energy, eV/atom: -8.359
Energy of formation from the pure elements, eV/atom: 0.0588

***

Entry 11:
# BaAl6Ir

A geometry-optimized BaAl6Ir structure (GGA-PBE, Alexandria).

```
BaAl6Ir
1.0
4.382 0.000 0.000
0.000 4.382 0.000
0.000 0.000 8.648
Ba Al Ir
1 6 1
Direct
0.000 0.000 0.000 Ba
0.000 0.500 0.342 Al
0.000 0.500 0.658 Al
0.500 0.000 0.342 Al
0.500 0.000 0.658 Al
0.500 0.500 0.153 Al
0.500 0.500 0.847 Al
0.000 0.000 0.500 Ir
```

Density of states at the Fermi level, states/eV/atom: 0.383
Calculated total energy, eV/atom: -4.569
Energy of formation from the pure elements, eV/atom: -0.4138

***

Entry 12:
# TaNi6Au

A geometry-optimized TaNi6Au structure (GGA-PBE, Alexandria).

```
TaNi6Au
1.0
3.683 -5.212 0.000
3.683 5.212 0.000
0.000 0.000 10.447
Ta Ni Au
4 24 4
Direct
0.000 0.000 0.249 Ta
0.000 0.000 0.751 Ta
0.247 0.753 0.500 Ta
0.753 0.247 0.500 Ta
0.000 0.000 0.000 Ni
0.000 0.000 0.500 Ni
0.121 0.369 0.129 Ni
0.121 0.369 0.871 Ni
0.122 0.374 0.378 Ni
0.122 0.374 0.622 Ni
0.247 0.753 0.256 Ni
0.247 0.753 0.744 Ni
0.369 0.121 0.129 Ni
0.369 0.121 0.871 Ni
0.374 0.122 0.378 Ni
0.374 0.122 0.622 Ni
0.500 0.500 0.000 Ni
0.500 0.500 0.500 Ni
0.626 0.878 0.378 Ni
0.626 0.878 0.622 Ni
0.631 0.879 0.129 Ni
0.631 0.879 0.871 Ni
0.753 0.247 0.256 Ni
0.753 0.247 0.744 Ni
0.878 0.626 0.378 Ni
0.878 0.626 0.622 Ni
0.879 0.631 0.129 Ni
0.879 0.631 0.871 Ni
0.251 0.749 0.000 Au
0.500 0.500 0.248 Au
0.500 0.500 0.752 Au
0.749 0.251 0.000 Au
```

Density of states at the Fermi level, states/eV/atom: 1.294
Calculated total energy, eV/atom: -6.367
Energy of formation from the pure elements, eV/atom: -0.1396